A plane-wave DFT calculation with PBE was carried out for a relaxed CdPb2Au crystal.

abc: 7.8279 5.1135 3.9885
angles: 90.18 59.10 124.41
Fractional coordinates of all 4 atoms:
Pb 0.5000 0.0000 0.5000
Pb 0.0000 0.0000 0.0000
Cd 0.5000 0.5000 0.0000
Au 0.0000 0.5000 0.5000

## Properties
SG	C2/m (12)
energy	-0.1055	Ha/atom

***

A plane-wave DFT calculation with PBE was carried out for a relaxed BaGeSbO6 crystal.

abc: 5.2482 5.2482 11.7469
angles: 90.00 90.00 120.00
Last column: magnetic moment on the atom in μB.
Fractional coordinates of all 18 atoms:
O 0.0122 0.6212 0.8446  0.15
O 0.9878 0.6090 0.3446  0.15
O 0.3788 0.9878 0.6554  0.15
O 0.6212 0.0122 0.3446  0.15
O 0.9878 0.3788 0.1554  0.15
O 0.3910 0.0122 0.1554  0.15
O 0.3788 0.3910 0.8446  0.15
O 0.6090 0.9878 0.8446  0.15
O 0.6090 0.6212 0.6554  0.15
O 0.6212 0.6090 0.1554  0.15
O 0.3910 0.3788 0.3446  0.15
O 0.0122 0.3910 0.6554  0.15
Sb 0.3333 0.6667 0.2500  -0.01
Sb 0.6667 0.3333 0.7500  -0.01
Ge 0.3333 0.6667 0.7500  -0.01
Ge 0.6667 0.3333 0.2500  -0.01
Ba 0.0000 0.0000 0.5000  0.00
Ba 0.0000 0.0000 0.0000  0.00

## Properties
formation energy (no corrections)	-1.73	eV/atom
SG	P-31c (163)

***

A plane-wave DFT calculation with PBE was carried out for a relaxed CoTeAs2 crystal.

abc: 4.7296 4.7296 4.7296
angles: 120.16 120.16 89.73
Last column: magnetic moment on the atom in μB.
Fractional coordinates of all 4 atoms:
As 0.0000 0.0000 0.0000  0.01
As 0.2500 0.7500 0.5000  -0.03
Te 0.7500 0.2500 0.5000  -0.01
Co 0.5000 0.5000 0.0000  1.41

## Properties
formation energy (no corrections)	0.57	eV/atom
SG	I-4m2 (119)

***

A plane-wave DFT calculation with PBE was carried out for a relaxed Pm3YHo6Er2 crystal.

abc: 6.1646 6.1646 11.7740
angles: 94.99 94.99 119.96
Fractional coordinates of all 12 atoms:
Y 0.0000 0.0000 0.0000
Er 0.3333 0.6667 0.0000
Er 0.6667 0.3333 0.0000
Ho 0.7482 0.7482 0.2468
Ho 0.2518 0.2518 0.7532
Ho 0.4166 0.0824 0.2468
Ho 0.9176 0.5834 0.7532
Ho 0.5834 0.9176 0.7532
Ho 0.0824 0.4166 0.2468
Pm 0.1667 0.8333 0.5000
Pm 0.8333 0.1667 0.5000
Pm 0.5000 0.5000 0.5000

## Properties
SG	C2/m (12)
energy	-0.1748	Ha/atom

***

A plane-wave DFT calculation with PBE was carried out for a relaxed Pm4Ga5Ir2 crystal.

abc: 3.9170 7.1121 9.1011
angles: 92.57 90.00 90.00
Fractional coordinates of all 11 atoms:
Ga 0.0000 0.5620 0.3118
Ga 0.0000 0.1788 0.1539
Ga 0.0000 0.4380 0.6882
Ga 0.0000 0.5000 0.0000
Ga 0.0000 0.8212 0.8461
Pm 0.5000 0.8141 0.1371
Pm 0.5000 0.2478 0.4347
Pm 0.5000 0.1859 0.8629
Pm 0.5000 0.7522 0.5653
Ir 0.0000 0.0686 0.6420
Ir 0.0000 0.9314 0.3580

## Properties
SG	P2/m (10)
energy	-0.1945	Ha/atom

***

A plane-wave DFT calculation with PBE was carried out for a relaxed ScCoW crystal.

abc: 4.3611 4.3611 2.8841
angles: 90.00 90.00 120.00
Last column: magnetic moment on the atom in μB.
Fractional coordinates of all 3 atoms:
Co 0.0000 0.0000 0.9181  0.56
Sc 0.6667 0.3333 0.3214  0.00
W 0.3333 0.6667 0.7605  0.03

## Properties
SG	P3m1 (156)
excess energy over the best structure of this formula in the dataset	235.6	meV per atom

***

A plane-wave DFT calculation with PBE was carried out for a relaxed Y2TmPaCo2 crystal.

abc: 6.7050 6.7631 7.9071
angles: 115.32 115.09 90.00
Fractional coordinates of all 12 atoms:
Co 0.0884 0.7973 0.1767
Co 0.9116 0.2027 0.8233
Co 0.5884 0.3794 0.1767
Co 0.4116 0.6206 0.8233
Y 0.3001 0.0891 0.6002
Y 0.1999 0.4889 0.3998
Y 0.6999 0.9109 0.3998
Y 0.8001 0.5111 0.6002
Pa 0.2500 0.5000 0.0000
Pa 0.7500 0.5000 0.0000
Tm 0.2500 0.0000 0.0000
Tm 0.7500 0.0000 0.0000

## Properties
SG	Ibam (72)
energy	-0.2595	Ha/atom

***

A plane-wave DFT calculation with PBE was carried out for a relaxed GaW2Cl2 crystal.

abc: 7.7212 7.7212 2.8243
angles: 90.00 90.00 90.00
Fractional coordinates of all 10 atoms:
Cl 0.1225 0.3775 0.0000
Cl 0.8775 0.6225 0.0000
Cl 0.6225 0.1225 0.0000
Cl 0.3775 0.8775 0.0000
Ga 0.5000 0.5000 0.0000
Ga 0.0000 0.0000 0.0000
W 0.2016 0.7016 0.5000
W 0.2984 0.2016 0.5000
W 0.7984 0.2984 0.5000
W 0.7016 0.7984 0.5000

## Properties
formation energy (no corrections)	1.15	eV/atom
SG	P4/mbm (127)
excess energy over the best structure of this formula in the dataset	172.7	meV per atom